YGaPO2 (GGA-PBE, relaxed); raw formation energy = -4.22 eV/f.u.; density of states at the Fermi level = 4.39 states/eV/cell; ΔE to the lowest computed polymorph = 334 meV per atom
1.0
4.235 0.000 0.000
0.000 4.235 0.000
0.000 0.000 5.931
Y Ga P O
1 1 1 2
direct
0.000 0.000 0.000 Y
0.500 0.500 0.500 Ga
0.000 0.000 0.500 P
0.000 0.500 0.000 O
0.500 0.000 0.000 O



Tl2Cu2PdSe4 (GGA-PBE, relaxed); raw formation energy = -2.28 eV/f.u.; density of states at the Fermi level = 4.20 states/eV/cell
1.0
7.480 -1.967 0.000
7.480 1.967 0.000
-2.829 0.000 7.020
Tl Cu Pd Se
2 2 1 4
direct
0.133 0.133 0.062 Tl
0.867 0.867 0.938 Tl
0.309 0.309 0.516 Cu
0.691 0.691 0.484 Cu
0.000 0.000 0.500 Pd
0.192 0.192 0.681 Se
0.481 0.481 0.706 Se
0.519 0.519 0.294 Se
0.808 0.808 0.319 Se



TaTc2Ir (GGA-PBE, relaxed); energy of formation from the pure elements = -0.221 eV per atom; density of states at the Fermi level = 10.43 states/eV/cell; ΔE to the lowest computed polymorph = 41 meV per atom
1.0
3.943 0.000 0.000
0.000 3.943 0.000
0.000 0.000 7.913
Ta Tc Ir
2 4 2
direct
0.000 0.000 0.000 Ta
0.500 0.500 0.500 Ta
0.000 0.000 0.500 Tc
0.000 0.500 0.250 Tc
0.500 0.000 0.750 Tc
0.500 0.500 0.000 Tc
0.000 0.500 0.750 Ir
0.500 0.000 0.250 Ir



no.,total magnetic moment (μB/cell)
1,1.12
2,0.00
3,0.00